Pa5Si2Tc, optimized geometry, DFT PBE; space-group type = Immm, No. 71; DFT total energy = -8.58 eV/atom; energy relative to the elements, uncorrected = 2 meV per atom
1.0
3.054 0.000 0.000
1.527 7.427 -0.795
1.527 1.476 7.322
Pa Si Tc
5 2 1
direct
0.000 0.500 0.500 Pa
0.644 0.564 0.149 Pa
0.356 0.436 0.851 Pa
0.356 0.851 0.436 Pa
0.644 0.149 0.564 Pa
0.688 0.812 0.812 Si
0.312 0.188 0.188 Si
0.000 0.000 0.000 Tc